Entry 1:
DFT (PBE) results for a geometry-optimized PrNi structure.

Cell lengths 4.077, 4.077, 4.077 Å; angles 60.00, 60.00, 60.00 degrees
Fractional coordinates of all 2 atoms:
Pr (0.000, 0.000, 0.000)
Ni (0.500, 0.500, 0.500)

Properties
For the formation energy, the calculation gives -0.134 eV per atom. Its symmetry is Fm-3m, No. 225.

Entry 2:
DFT (PBE) results for a geometry-optimized PrNi4 structure.

Cell lengths 4.721, 4.721, 4.721 Å; angles 90.00, 90.00, 90.00 degrees
Fractional coordinates of all 5 atoms:
Pr (0.500, 0.500, 0.500)
Ni (0.000, 0.000, 0.000)
Ni (0.500, 0.500, 0.000)
Ni (0.500, 0.000, 0.500)
Ni (0.000, 0.500, 0.500)

Properties
For the formation energy, the calculation gives 1.693 eV per atom. Its symmetry is Pm-3m, No. 221.

Entry 3:
DFT (PBE) results for a geometry-optimized PrNi4 structure.

Cell lengths 7.345, 7.345, 7.345 Å; angles 109.47, 109.47, 109.47 degrees
Fractional coordinates of all 20 atoms:
Ni (0.646, 0.646, 0.000)
Ni (0.250, 0.500, 0.750)
Ni (0.750, 0.250, 0.500)
Ni (0.805, 0.805, 0.805)
Ni (0.000, 0.000, 0.195)
Ni (0.250, 0.750, 0.500)
Ni (0.000, 0.646, 0.646)
Ni (0.354, 0.354, 0.000)
Ni (0.195, 0.000, 0.000)
Ni (0.750, 0.500, 0.250)
Ni (0.000, 0.195, 0.000)
Ni (0.500, 0.750, 0.250)
Ni (0.500, 0.250, 0.750)
Ni (0.646, 0.000, 0.646)
Ni (0.354, 0.000, 0.354)
Ni (0.000, 0.354, 0.354)
Pr (0.000, 0.550, 0.000)
Pr (0.550, 0.000, 0.000)
Pr (0.450, 0.450, 0.450)
Pr (0.000, 0.000, 0.550)

Properties
For the formation energy, the calculation gives -0.105 eV per atom. Its symmetry is I-43m, No. 217.

Entry 4:
DFT (PBE) results for a geometry-optimized PrNi12 structure.

Cell lengths 4.719, 6.316, 6.316 Å; angles 81.98, 68.07, 68.07 degrees
Fractional coordinates of all 13 atoms:
Ni (0.000, 0.356, 0.644)
Ni (0.731, 0.769, 0.769)
Ni (0.500, 0.769, 0.231)
Ni (0.356, 0.644, 0.644)
Ni (0.644, 0.356, 0.356)
Ni (0.500, 0.231, 0.769)
Ni (0.269, 0.231, 0.231)
Ni (0.500, 0.000, 0.500)
Ni (0.500, 0.500, 0.000)
Ni (0.000, 0.500, 0.000)
Ni (0.000, 0.000, 0.500)
Ni (0.000, 0.644, 0.356)
Pr (0.000, 0.000, 0.000)

Properties
For the formation energy, the calculation gives -0.078 eV per atom. Its symmetry is I4/mmm, No. 139.

Entry 5:
DFT (PBE) results for a geometry-optimized PrNi6 structure.

Cell lengths 5.397, 5.397, 5.397 Å; angles 109.47, 109.47, 109.47 degrees
Fractional coordinates of all 7 atoms:
Ni (0.250, 0.500, 0.750)
Ni (0.500, 0.750, 0.250)
Ni (0.500, 0.250, 0.750)
Ni (0.750, 0.500, 0.250)
Ni (0.250, 0.750, 0.500)
Ni (0.750, 0.250, 0.500)
Pr (0.000, 0.000, 0.000)

Properties
For the formation energy, the calculation gives 0.386 eV per atom. Its symmetry is Im-3m, No. 229.

Entry 6:
DFT (PBE) results for a geometry-optimized Pr3NiPt structure.

Cell lengths 3.989, 8.364, 8.388 Å; angles 109.41, 90.00, 90.00 degrees
Fractional coordinates of all 10 atoms:
Pr (0.750, 0.318, 0.965)
Pr (0.750, 0.065, 0.236)
Pr (0.750, 0.644, 0.398)
Pr (0.250, 0.935, 0.764)
Pr (0.250, 0.682, 0.035)
Pr (0.250, 0.356, 0.602)
Ni (0.750, 0.069, 0.578)
Ni (0.250, 0.931, 0.422)
Pt (0.250, 0.349, 0.238)
Pt (0.750, 0.651, 0.762)

Properties
For the formation energy, the calculation gives -0.564 eV per atom. Its symmetry is P2_1/m, No. 11.

Entry 7:
DFT (PBE) results for a geometry-optimized Pr3Ni2Pt7 structure.

Cell lengths 5.468, 5.468, 9.199 Å; angles 72.71, 72.71, 60.00 degrees
Fractional coordinates of all 12 atoms:
Pt (0.581, 0.076, 0.762)
Pt (0.076, 0.581, 0.762)
Pt (0.581, 0.581, 0.762)
Pt (0.419, 0.419, 0.238)
Pt (0.924, 0.419, 0.238)
Pt (0.419, 0.924, 0.238)
Pt (0.500, 0.500, 0.500)
Pr (0.000, 0.000, 0.000)
Pr (0.861, 0.861, 0.417)
Pr (0.139, 0.139, 0.583)
Ni (0.667, 0.667, 0.999)
Ni (0.333, 0.333, 0.001)

Properties
For the formation energy, the calculation gives -0.840 eV per atom. Its symmetry is R-3m, No. 166.

Entry 8:
DFT (PBE) results for a geometry-optimized PrNi2Pt6 structure.

Cell lengths 7.971, 7.971, 7.971 Å; angles 60.00, 60.00, 60.00 degrees
Fractional coordinates of all 18 atoms:
Pt (0.497, 0.497, 0.003)
Pt (0.247, 0.247, 0.753)
Pt (0.247, 0.753, 0.247)
Pt (0.753, 0.247, 0.753)
Pt (0.003, 0.003, 0.497)
Pt (0.003, 0.497, 0.003)
Pt (0.753, 0.753, 0.247)
Pt (0.247, 0.753, 0.753)
Pt (0.497, 0.003, 0.497)
Pt (0.753, 0.247, 0.247)
Pt (0.497, 0.003, 0.003)
Pt (0.003, 0.497, 0.497)
Ni (0.125, 0.125, 0.125)
Ni (0.625, 0.125, 0.125)
Ni (0.125, 0.125, 0.625)
Ni (0.125, 0.625, 0.125)
Pr (0.750, 0.750, 0.750)
Pr (0.500, 0.500, 0.500)

Properties
For the formation energy, the calculation gives 0.049 eV per atom. Its symmetry is Fd-3m, No. 227.

no.,mass density (Mg/m³)
1,6.9
2,5.9
3,8.2
4,8.7
5,6.8
6,8.5
7,14.1
8,13.2